## TiHgI3 (GGA-PBE)

Data for crystalline TiHgI3 at its relaxed geometry.

Properties
Offset from the most stable computed form in eV/f.u.: 0.943
Energy relative to the elements, uncorrected in eV per atom: -0.3920
Total moment in μB per atom: 0.20
Calculated volume in Å³/f.u.: 178
Fermi-level density of states in states/eV/cell: 3.61

Cell: 5.6237 5.6237 5.6237 Å, 90.00 90.00 90.00°
Space group Pm-3m (No. 221)
Inequivalent atoms, fractional coordinates:
Ti: 0.0000 0.0000 0.0000
Hg: 0.5000 0.5000 0.5000
I: 0.0000 0.0000 0.5000


## Y3PdAu (GGA-PBE)

Data for crystalline Y3PdAu at its relaxed geometry.

Properties
Offset from the most stable computed form in eV/f.u.: 0.000
Total moment in μB per atom: 0.00
Calculated volume in Å³/f.u.: 154
Formation energy in eV/atom: -0.168
Fermi-level density of states in states/eV/cell: 9.98

Cell: 5.3574 5.3574 5.3574 Å, 90.00 90.00 90.00°
Space group Pm-3m (No. 221)
Inequivalent atoms, fractional coordinates:
Y: 0.0000 0.0000 0.5000
Pd: 0.0000 0.0000 0.0000
Au: 0.5000 0.5000 0.5000


## AlZnGa (GGA-PBE)

Data for crystalline AlZnGa at its relaxed geometry.

Properties
Total moment in μB per atom: 0.00
Calculated volume in Å³/f.u.: 52
Formation energy in eV/atom: 0.046
Fermi-level density of states in states/eV/cell: 2.29

Cell: 4.0556 4.4135 6.3488 Å, 72.58 75.90 78.38°
Space group P-1 (No. 2)
Inequivalent atoms, fractional coordinates:
Al: 0.2159 0.2342 0.4634
Zn: 0.4154 0.7970 0.2114
Ga: 0.1629 0.7477 0.8697


## CePr2Sm12 (GGA-PBE)

Data for crystalline CePr2Sm12 at its relaxed geometry.

Properties
Total moment in μB per atom: 0.10
Calculated volume in Å³/f.u.: 518
Formation energy in eV/atom: 0.169
Fermi-level density of states in states/eV/cell: 101.11

Cell: 7.1370 11.5869 25.0505 Å, 90.00 90.00 90.00°
Space group Cmme (No. 67)
Inequivalent atoms, fractional coordinates:
Ce: 0.0000 0.2500 0.0006
Pr: 0.0000 0.2500 0.2734
Pr: 0.0000 0.2500 0.7339
Sm: 0.0000 0.0020 0.9262
Sm: 0.0000 0.0234 0.4404
Sm: 0.2312 0.2500 0.5821
Sm: 0.2486 0.2500 0.1259
Sm: 0.2500 0.0000 0.1984
Sm: 0.2500 0.0000 0.3270


## Cs3Cd2HgBr9 (GGA-PBE)

Data for crystalline Cs3Cd2HgBr9 at its relaxed geometry.

Properties
Energy relative to the elements, uncorrected in eV per atom: -1.1423
Total moment in μB per atom: 0.00
Calculated volume in Å³/f.u.: 536
Fermi-level density of states in states/eV/cell: 7.03

Cell: 7.9621 7.9621 9.7618 Å, 90.00 90.00 120.00°
Space group P-3m1 (No. 164)
Inequivalent atoms, fractional coordinates:
Cs: 0.0000 0.0000 0.0000
Cs: 0.3333 0.6667 0.6660
Cd: 0.3333 0.6667 0.1643
Hg: 0.0000 0.0000 0.5000
Br: 0.0000 0.5000 0.0000
Br: 0.1680 0.3360 0.3316


## PmNdCo (GGA-PBE)

Data for crystalline PmNdCo at its relaxed geometry.

Properties
Offset from the most stable computed form in eV/f.u.: 0.203
Total moment in μB per atom: 0.00
Calculated volume in Å³/f.u.: 88
Formation energy in eV/atom: -0.001
Fermi-level density of states in states/eV/cell: 2.86

Cell: 3.9956 3.9956 6.3387 Å, 90.00 90.00 120.00°
Space group P3m1 (No. 156)
Inequivalent atoms, fractional coordinates:
Pm: 0.0000 0.0000 0.0000
Nd: 0.3333 0.6667 0.5373
Co: 0.6667 0.3333 0.7703


## Sc2TiAl3 (GGA-PBE)

Data for crystalline Sc2TiAl3 at its relaxed geometry.

Properties
Offset from the most stable computed form in eV/f.u.: 0.120
Total moment in μB per atom: 0.00
Calculated volume in Å³/f.u.: 109
Formation energy in eV/atom: -0.370
Fermi-level density of states in states/eV/cell: 16.33

Cell: 4.7645 6.4534 14.1951 Å, 90.00 90.00 90.00°
Space group Imma (No. 74)
Inequivalent atoms, fractional coordinates:
Sc: 0.0000 0.2500 0.0056
Sc: 0.0000 0.2500 0.3307
Ti: 0.0000 0.2500 0.6628
Al: 0.0000 0.0000 0.5000
Al: 0.0000 0.0279 0.8299


## MnCuTc (GGA-PBE)

Data for crystalline MnCuTc at its relaxed geometry.

Properties
Offset from the most stable computed form in eV/f.u.: 0.000
Total moment in μB per atom: 0.61
Calculated volume in Å³/f.u.: 39
Formation energy in eV/atom: 0.167
Fermi-level density of states in states/eV/cell: 2.53

Cell: 4.1954 4.1954 2.5448 Å, 90.00 90.00 120.00°
Space group P3m1 (No. 156)
Inequivalent atoms, fractional coordinates:
Mn: 0.0000 0.0000 0.0000
Cu: 0.6667 0.3333 0.7808
Tc: 0.3333 0.6667 0.3373


## Fe2Co2Pd7 (GGA-PBE)

Data for crystalline Fe2Co2Pd7 at its relaxed geometry.

Properties
Total moment in μB per atom: 1.12
Calculated volume in Å³/f.u.: 160
Formation energy in eV/atom: 0.041
Fermi-level density of states in states/eV/cell: 19.08

Cell: 4.1296 11.4389 6.7863 Å, 90.00 90.00 90.00°
Space group Imm2 (No. 44)
Inequivalent atoms, fractional coordinates:
Fe: 0.0000 0.1936 0.0000
Co: 0.0000 0.0000 0.8048
Co: 0.0000 0.5000 0.0160
Pd: 0.0000 0.0000 0.1862
Pd: 0.0000 0.1424 0.5105
Pd: 0.0000 0.3463 0.7244
Pd: 0.0000 0.3490 0.2918


## YTm8In6 (GGA-PBE)

Data for crystalline YTm8In6 at its relaxed geometry.

Properties
Total moment in μB per atom: 0.00
Calculated volume in Å³/f.u.: 445
Formation energy in eV/atom: -0.193
Fermi-level density of states in states/eV/cell: 56.72

Cell: 8.9309 8.9309 19.3387 Å, 90.00 90.00 120.00°
Space group R-3 (No. 148, hexagonal axes)
Inequivalent atoms, fractional coordinates:
Y: 0.0000 0.0000 0.0000
Tm: 0.0000 0.0000 0.3335
Tm: 0.0003 0.3344 0.8872
In: 0.0001 0.3348 0.0609


## AlAgHg2S4 (GGA-PBE)

Data for crystalline AlAgHg2S4 at its relaxed geometry.

Properties
Energy relative to the elements, uncorrected in eV per atom: -0.4367
Total moment in μB per atom: 0.00
Calculated volume in Å³/f.u.: 194

Cell: 5.8721 5.8721 11.2303 Å, 90.00 90.00 90.00°
Space group I-42m (No. 121)
Inequivalent atoms, fractional coordinates:
Al: 0.0000 0.0000 0.0000
Ag: 0.0000 0.0000 0.5000
Hg: 0.0000 0.5000 0.2500
S: 0.2286 0.2286 0.8873


## LaMgN2O (GGA-PBE)

Data for crystalline LaMgN2O at its relaxed geometry.

Properties
Energy relative to the elements, uncorrected in eV per atom: -0.6434
Total moment in μB per atom: 0.58
Calculated volume in Å³/f.u.: 65
Fermi-level density of states in states/eV/cell: 3.13

Cell: 4.0659 4.0659 3.9622 Å, 90.00 90.00 90.00°
Space group P4/mmm (No. 123)
Inequivalent atoms, fractional coordinates:
La: 0.0000 0.0000 0.0000
Mg: 0.5000 0.5000 0.5000
N: 0.0000 0.5000 0.5000
O: 0.5000 0.5000 0.0000